Record 1
A plane-wave DFT calculation with PBE was carried out for a relaxed structure of Ce6Sb2RuC.

Lattice parameters (Å, degrees): 5.0905 5.0905 10.3849 90.00 90.00 90.00
Fractional positions:
Ce  0.0000  0.0000  0.2287
Ce  0.0000  0.0000  0.7713
Ce  0.0000  0.5000  0.0000
Ce  0.0000  0.5000  0.5000
Ce  0.5000  0.0000  0.0000
Ce  0.5000  0.0000  0.5000
Sb  0.5000  0.5000  0.2408
Sb  0.5000  0.5000  0.7592
Ru  0.0000  0.0000  0.5000
C  0.0000  0.0000  0.0000

Symmetry = P4/mmm, No. 123
E_form (uncorrected) = -465 meV per atom

Record 2
A plane-wave DFT calculation with PBE was carried out for a relaxed structure of Li2TmAg5.

Lattice parameters (Å, degrees): 7.6520 7.6520 7.6520 123.51 123.51 84.02
Fractional positions:
Li  0.1550  0.6550  0.8100
Li  0.3450  0.1550  0.5000
Li  0.6550  0.8450  0.5000
Li  0.8450  0.3450  0.1900
Tm  0.2500  0.2500  0.0000
Tm  0.7500  0.7500  0.0000
Ag  0.0000  0.0000  0.0000
Ag  0.0121  0.7991  0.5000
Ag  0.2009  0.7009  0.2130
Ag  0.2991  0.5121  0.5000
Ag  0.4879  0.9879  0.7870
Ag  0.5000  0.5000  0.0000
Ag  0.5121  0.0121  0.2130
Ag  0.7009  0.4879  0.5000
Ag  0.7991  0.2991  0.7870
Ag  0.9879  0.2009  0.5000

Symmetry = I4/mcm, No. 140
ΔH_f (0 K) = -118 meV/atom

Record 3
A plane-wave DFT calculation with PBE was carried out for a relaxed structure of GeI3Cl.

Lattice parameters (Å, degrees): 5.7335 5.7335 5.7335 90.00 90.00 90.00
Fractional positions:
Ge  0.0000  0.0000  0.0000
I  0.0000  0.5000  0.5000
I  0.5000  0.0000  0.5000
I  0.5000  0.5000  0.0000
Cl  0.5000  0.5000  0.5000

E above lowest polymorph = 5.31 eV per formula unit
Symmetry = Pm-3m, No. 221
E_form (uncorrected) = 632 meV per atom

Record 4
A plane-wave DFT calculation with PBE was carried out for a relaxed structure of CeTlHgSb.

Lattice parameters (Å, degrees): 5.4412 5.4412 5.4412 60.00 60.00 60.00
Fractional positions:
Ce  0.0000  0.0000  0.0000
Tl  0.5000  0.5000  0.5000
Hg  0.2500  0.2500  0.2500
Sb  0.7500  0.7500  0.7500

Symmetry = F-43m, No. 216
E_form (uncorrected) = -328 meV per atom

Record 5
A plane-wave DFT calculation with PBE was carried out for a relaxed structure of La5TlAu2.

Lattice parameters (Å, degrees): 9.1153 9.1153 9.1153 124.20 124.20 82.87
Fractional positions:
La  0.0000  0.0000  0.0000
La  0.0123  0.5123  0.8140
La  0.1983  0.0123  0.5000
La  0.3017  0.8017  0.8140
La  0.4877  0.3017  0.5000
La  0.5000  0.5000  0.0000
La  0.5123  0.6983  0.5000
La  0.6983  0.1983  0.1860
La  0.8017  0.9877  0.5000
La  0.9877  0.4877  0.1860
Tl  0.2500  0.2500  0.0000
Tl  0.7500  0.7500  0.0000
Au  0.1346  0.3654  0.5000
Au  0.3654  0.8654  0.2308
Au  0.6346  0.1346  0.7692
Au  0.8654  0.6346  0.5000

Symmetry = I4/mcm, No. 140
ΔH_f (0 K) = -523 meV/atom

Record 6
A plane-wave DFT calculation with PBE was carried out for a relaxed structure of AcLaPm2Er5.

Lattice parameters (Å, degrees): 10.0450 10.0450 10.0450 128.01 128.01 76.60
Fractional positions:
Ac  0.2500  0.2500  0.0000
Ac  0.7500  0.7500  0.0000
La  0.2500  0.7500  0.5000
La  0.7500  0.2500  0.5000
Pm  0.1173  0.6173  0.7346
Pm  0.3827  0.1173  0.5000
Pm  0.6173  0.8827  0.5000
Pm  0.8827  0.3827  0.2654
Er  0.0000  0.0000  0.0000
Er  0.0747  0.1645  0.5000
Er  0.1645  0.6645  0.0897
Er  0.3355  0.4253  0.5000
Er  0.4253  0.9253  0.0897
Er  0.5000  0.5000  0.0000
Er  0.5747  0.0747  0.9103
Er  0.6645  0.5747  0.5000
Er  0.8355  0.3355  0.9103
Er  0.9253  0.8355  0.5000

Symmetry = I4/mcm, No. 140
ΔH_f (0 K) = 237 meV/atom

Record 7
A plane-wave DFT calculation with PBE was carried out for a relaxed structure of Pm3Nd4Sn4.

Lattice parameters (Å, degrees): 10.9283 10.9283 10.9283 160.71 126.96 56.97
Fractional positions:
Pm  0.0000  0.0000  0.0000
Pm  0.4094  0.9094  0.5000
Pm  0.5906  0.0906  0.5000
Nd  0.0119  0.3348  0.6771
Nd  0.3422  0.6652  0.6771
Nd  0.6578  0.3348  0.3229
Nd  0.9881  0.6652  0.3229
Sn  0.2748  0.2748  0.0000
Sn  0.2764  0.5000  0.7764
Sn  0.7236  0.5000  0.2236
Sn  0.7252  0.7252  0.0000

Symmetry = Immm, No. 71
ΔH_f (0 K) = -563 meV/atom

Record 8
A plane-wave DFT calculation with PBE was carried out for a relaxed structure of Li2RhCl.

Lattice parameters (Å, degrees): 4.8904 4.8904 4.8904 143.09 122.71 70.13
Fractional positions:
Li  0.2230  0.2230  0.0000
Li  0.7770  0.7770  0.0000
Rh  0.5000  0.0000  0.5000
Cl  0.0000  0.5000  0.5000

E above lowest polymorph = 1.44 eV per formula unit
Symmetry = Immm, No. 71
E_form (uncorrected) = -261 meV per atom

Here are the calculated N(E_F) numbers, same order: 2.47; 0.27; 0.77; 1.87; 1.29; 1.06; 0.86; 0.41 (states/eV per atom).
Here are the calculated DFT total energy numbers, same order: -6.70; -2.94; -1.59; -3.51; -4.72; -4.36; -5.05; -3.52 (eV/atom).